[1]
Mg3TeIr | the Alexandria database | GGA-PBEsol | optimized geometry; E_form (uncorrected) = -0.015 eV per atom; SG = Pm-3m, No. 221
1.0
4.943 0.000 0.000
0.000 4.943 0.000
0.000 0.000 4.943
Mg Te Ir
3 1 1
direct
0.000 0.000 0.500
0.000 0.500 0.000
0.500 0.000 0.000
0.500 0.500 0.500
0.000 0.000 0.000

[2]
Mg2TeIr | the Alexandria database | GGA-PBEsol | optimized geometry; E_form (uncorrected) = 0.070 eV per atom; SG = I-42d, No. 122
1.0
-3.804 3.804 2.821
3.804 -3.804 2.821
3.804 3.804 -2.821
Mg Te Ir
4 2 2
direct
0.087 0.625 0.962
0.375 0.337 0.462
0.663 0.125 0.038
0.875 0.913 0.538
0.250 0.750 0.500
0.500 0.500 0.000
0.000 0.000 0.000
0.750 0.250 0.500

[3]
MgTl2Ir | the Alexandria database | GGA-PBEsol | optimized geometry; formation enthalpy at 0 K = 0.289 eV/atom; SG = P4/mmm, No. 123
1.0
3.188 0.000 0.000
0.000 3.188 0.000
0.000 0.000 8.057
Mg Tl Ir
1 2 1
direct
0.000 0.000 0.000
0.500 0.500 0.278
0.500 0.500 0.722
0.000 0.000 0.500

[4]
MgTl2Ir | the Alexandria database | GGA-PBEsol | optimized geometry; formation enthalpy at 0 K = 0.187 eV/atom; SG = I4/mmm, No. 139
1.0
-2.177 2.177 4.039
2.177 -2.177 4.039
2.177 2.177 -4.039
Mg Tl Ir
1 2 1
direct
0.000 0.000 0.000
0.250 0.750 0.500
0.750 0.250 0.500
0.500 0.500 0.000

[5]
Mg2TlIr | the Alexandria database | GGA-PBEsol | optimized geometry; formation enthalpy at 0 K = -0.199 eV/atom; SG = P4/mmm, No. 123
1.0
3.185 0.000 0.000
0.000 3.185 0.000
0.000 0.000 7.363
Mg Tl Ir
2 1 1
direct
0.000 0.000 0.197
0.000 0.000 0.803
0.500 0.500 0.500
0.500 0.500 0.000

[6]
MgTlIr2 | the Alexandria database | GGA-PBEsol | optimized geometry; formation enthalpy at 0 K = 0.235 eV/atom; SG = C2/m, No. 12
1.0
2.854 -4.566 0.000
2.854 4.566 0.000
-1.381 0.000 2.528
Mg Tl Ir
1 1 2
direct
0.000 0.000 0.000
0.500 0.500 0.000
0.000 0.500 0.500
0.500 0.000 0.500

[7]
Mg2TlIr | the Alexandria database | GGA-PBEsol | optimized geometry; formation enthalpy at 0 K = 0.010 eV/atom; SG = P4mm, No. 99
1.0
3.500 0.000 0.000
0.000 3.500 0.000
0.000 0.000 5.980
Mg Tl Ir
2 1 1
direct
0.000 0.000 0.000
0.500 0.500 0.275
0.000 0.000 0.538
0.500 0.500 0.805

[8]
Tm2MgIr | the Alexandria database | GGA-PBEsol | optimized geometry; formation enthalpy at 0 K = -0.477 eV/atom; SG = Fm-3m, No. 225
1.0
0.000 3.457 3.457
3.457 0.000 3.457
3.457 3.457 0.000
Tm Mg Ir
2 1 1
direct
0.250 0.250 0.250
0.750 0.750 0.750
0.000 0.000 0.000
0.500 0.500 0.500